DFT (PBE) results for an optimized crystal structure of KTmP2S8.

Calculated values
- D(E_F) (states/eV per cell) = 9.35
- V (Å³/atom) = 25.3
- formation energy from raw total energies (kJ per mole of atoms) = -56

Unit cell a=6.1239 b=6.1239 c=9.3477 alpha=90.00 beta=90.00 gamma=120.00
Last column: nearest neighbours and their distance in Å.
Space group P-3 (No. 147)
One atom of each set of equivalent atoms:
K  0.0000  0.0000  0.0000 (multiplicity 1)  12 S 3.56-3.75
Tm  0.0000  0.0000  0.5000 (multiplicity 1)  6 S 2.72
P  0.3333  0.6667  0.7334 (multiplicity 2)  4 S 2.04-2.05
S  0.0000  0.3564  0.6741 (multiplicity 6)  1 P 2.05
S  0.3333  0.6667  0.9517 (multiplicity 2)  1 P 2.04